Entry 1:
Material: NbFeTcHg
Method: DFT, GGA-PBE
State: optimized geometry

a b c (Å): 2.8460 2.8460 7.9756
angles (deg): 90.00 90.00 90.00
Last column: nearest neighbours and their distance in Å.
Atoms (fractional coordinates):
Fe 0.5000 0.5000 0.4690  4 Tc 2.47
Nb 0.5000 0.5000 0.9157  4 Nb 2.85, 4 Tc 2.93, 4 Hg 3.09
Hg 0.0000 0.0000 0.2098  4 Hg 2.85, 4 Fe 2.89, 4 Nb 3.09
Tc 0.0000 0.0000 0.6484  4 Fe 2.47

Total magnetic moment = 1.01 μB/cell
Calculated total energy = -28.4 eV per cell
Relative energy among the computed polymorphs = 25.4 meV per atom
Formation enthalpy at 0 K = 212 meV per atom
DOS at the Fermi energy = 2.799 states/eV per cell

Entry 2:
Material: NbFeTcHg
Method: DFT, GGA-PBE
State: optimized geometry

a b c (Å): 4.1268 4.1372 8.6472
angles (deg): 90.00 118.51 90.00
Last column: nearest neighbours and their distance in Å.
Atoms (fractional coordinates):
Fe 0.9965 0.0000 0.9880  4 Nb 2.80-2.81, 4 Hg 2.81, 4 Tc 2.92
Fe 0.9965 0.5000 0.4880  4 Nb 2.80-2.81, 4 Hg 2.81, 4 Tc 2.92
Nb 0.7465 0.0000 0.2379  4 Tc 2.80-2.81, 4 Fe 2.80-2.81, 4 Hg 2.92
Nb 0.7465 0.5000 0.7379  4 Tc 2.80-2.81, 4 Fe 2.80-2.81, 4 Hg 2.92
Hg 0.2464 0.0000 0.7379  4 Fe 2.81, 4 Tc 2.81, 4 Nb 2.92
Hg 0.2464 0.5000 0.2379  4 Fe 2.81, 4 Tc 2.81, 4 Nb 2.92
Tc 0.4961 0.0000 0.4874  4 Nb 2.80-2.81, 4 Hg 2.81, 4 Fe 2.92
Tc 0.4961 0.5000 0.9874  4 Nb 2.80-2.81, 4 Hg 2.81, 4 Fe 2.92

Total magnetic moment = 5.17 μB/cell
Calculated total energy = -55.9 eV per cell
Relative energy among the computed polymorphs = 122.2 meV per atom
Formation enthalpy at 0 K = 309 meV per atom
DOS at the Fermi energy = 7.022 states/eV per cell

Entry 3:
Material: NbFeTcHg
Method: DFT, GGA-PBE
State: optimized geometry

a b c (Å): 2.8118 2.8118 8.0209
angles (deg): 90.00 90.00 90.00
Last column: nearest neighbours and their distance in Å.
Atoms (fractional coordinates):
Fe 0.0000 0.0000 0.6662  4 Tc 2.50, 4 Nb 2.75
Nb 0.5000 0.5000 0.9022  4 Fe 2.75, 4 Nb 2.81
Hg 0.0000 0.0000 0.1963  4 Hg 2.81, 4 Tc 3.01, 4 Nb 3.08
Tc 0.5000 0.5000 0.4783  4 Fe 2.50

Total magnetic moment = 0.01 μB/cell
Calculated total energy = -28.3 eV per cell
Relative energy among the computed polymorphs = 44.6 meV per atom
Formation enthalpy at 0 K = 232 meV per atom
DOS at the Fermi energy = 3.733 states/eV per cell

Entry 4:
Material: NbFeTcHg
Method: DFT, GGA-PBE
State: optimized geometry

a b c (Å): 3.2808 3.2808 6.1157
angles (deg): 90.00 90.00 90.00
Last column: nearest neighbours and their distance in Å.
Atoms (fractional coordinates):
Fe 0.5000 0.5000 0.0259  4 Nb 2.70, 1 Tc 2.73, 4 Hg 2.82
Nb 0.0000 0.0000 0.2513  4 Tc 2.68, 4 Fe 2.70, 1 Hg 2.97
Hg 0.0000 0.0000 0.7650  4 Fe 2.82, 4 Tc 2.93, 2 Nb 2.97-3.14
Tc 0.5000 0.5000 0.4722  4 Nb 2.68, 1 Fe 2.73, 4 Hg 2.93

Total magnetic moment = 2.00 μB/cell
Calculated total energy = -28.5 eV per cell
Relative energy among the computed polymorphs = 0.0 meV per atom
Formation enthalpy at 0 K = 187 meV per atom
DOS at the Fermi energy = 3.264 states/eV per cell